(1)
First-principles (GGA-PBE) data for a geometry-optimized ScGa2Pd8 structure, as listed in Alexandria via LeMat-Bulk.

The structure in extended XYZ format:
```
11
Lattice="6.883 -2.078 0.000 6.883 2.078 0.000 -2.398 0.000 5.990" Properties=species:S:1:pos:R:3 pbc="T T T"
Sc 0.000 0.000 0.000
Ga 3.106 0.000 2.044
Ga 8.261 0.000 3.946
Pd 0.319 0.000 2.810
Pd 0.223 0.000 5.584
Pd 2.893 0.000 4.666
Pd 5.686 0.000 1.622
Pd 5.681 0.000 4.369
Pd 8.474 0.000 1.324
Pd 11.144 0.000 0.407
Pd 11.048 0.000 3.180
```

## Properties
Spin magnetization (μB/f.u.): 0.0
Energy of formation from the pure elements (eV/atom): -0.601

(2)
First-principles (GGA-PBE) data for a geometry-optimized Sc2Ga8Pd structure, as listed in Alexandria via LeMat-Bulk.

The structure in extended XYZ format:
```
11
Lattice="4.209 0.000 0.000 0.000 4.209 0.000 0.000 0.000 10.899" Properties=species:S:1:pos:R:3 pbc="T T T"
Sc 0.000 0.000 2.010
Sc 0.000 0.000 8.889
Ga 0.000 2.104 0.000
Ga 0.000 2.104 3.987
Ga 0.000 2.104 6.912
Ga 2.104 0.000 0.000
Ga 2.104 0.000 3.987
Ga 2.104 0.000 6.912
Ga 2.104 2.104 2.070
Ga 2.104 2.104 8.829
Pd 0.000 0.000 5.450
```

## Properties
Spin magnetization (μB/f.u.): 0.0
Energy of formation from the pure elements (eV/atom): -0.480

(3)
First-principles (GGA-PBE) data for a geometry-optimized ScGa2Pd9 structure, as listed in Alexandria via LeMat-Bulk.

The structure in extended XYZ format:
```
12
Lattice="3.965 0.000 0.000 0.000 3.965 0.000 0.000 0.000 11.777" Properties=species:S:1:pos:R:3 pbc="T T T"
Sc 0.000 0.000 0.000
Ga 0.000 0.000 3.993
Ga 0.000 0.000 7.784
Pd 0.000 1.983 2.032
Pd 0.000 1.983 5.889
Pd 0.000 1.983 9.745
Pd 1.983 0.000 2.032
Pd 1.983 0.000 5.889
Pd 1.983 0.000 9.745
Pd 1.983 1.983 0.000
Pd 1.983 1.983 3.950
Pd 1.983 1.983 7.828
```

## Properties
Spin magnetization (μB/f.u.): 0.0
Energy of formation from the pure elements (eV/atom): -0.590

(4)
First-principles (GGA-PBE) data for a geometry-optimized ScGaPd6 structure, as listed in Alexandria via LeMat-Bulk.

The structure in extended XYZ format:
```
8
Lattice="3.942 -3.994 0.000 3.942 3.994 0.000 0.000 0.000 3.962" Properties=species:S:1:pos:R:3 pbc="T T T"
Sc 0.000 0.000 0.000
Ga 3.942 0.000 0.000
Pd 1.971 1.997 0.000
Pd 3.942 2.000 1.981
Pd 2.036 0.000 1.981
Pd 1.971 -1.997 0.000
Pd 5.847 0.000 1.981
Pd 3.942 -2.000 1.981
```

## Properties
Spin magnetization (μB/f.u.): 0.0
Energy of formation from the pure elements (eV/atom): -0.655
Energy relative to the lowest polymorph listed for this composition (meV per atom): 0

(5)
First-principles (GGA-PBE) data for a geometry-optimized ScGa4Pd2 structure, as listed in Alexandria via LeMat-Bulk.

The structure in extended XYZ format:
```
14
Lattice="8.654 0.000 0.000 0.000 8.654 0.000 0.000 0.000 3.272" Properties=species:S:1:pos:R:3 pbc="T T T"
Sc 0.000 0.000 0.000
Sc 4.327 4.327 1.636
Ga 0.582 2.647 1.636
Ga 1.680 4.909 0.000
Ga 2.647 0.582 1.636
Ga 3.745 6.974 0.000
Ga 4.909 1.680 0.000
Ga 6.007 8.072 1.636
Ga 6.974 3.745 0.000
Ga 8.072 6.007 1.636
Pd 1.738 6.916 1.636
Pd 2.589 2.589 0.000
Pd 6.066 6.066 0.000
Pd 6.916 1.738 1.636
```

## Properties
Spin magnetization (μB/f.u.): 0.0
Energy of formation from the pure elements (eV/atom): -0.529
Energy relative to the lowest polymorph listed for this composition (meV per atom): 80

(6)
First-principles (GGA-PBE) data for a geometry-optimized Sc4Ga2Pd structure, as listed in Alexandria via LeMat-Bulk.

The structure in extended XYZ format:
```
7
Lattice="-3.281 3.281 3.382 3.281 -3.281 3.382 3.281 3.281 -3.382" Properties=species:S:1:pos:R:3 pbc="T T T"
Sc 1.640 1.640 -1.691
Sc 1.640 -1.640 1.691
Sc -1.640 1.640 1.691
Sc 1.640 1.640 1.691
Ga 3.281 0.000 0.000
Ga 0.000 3.281 0.000
Pd 0.000 0.000 0.000
```

## Properties
Spin magnetization (μB/f.u.): 0.0
Energy of formation from the pure elements (eV/atom): -0.537
Energy relative to the lowest polymorph listed for this composition (meV per atom): 0

(7)
First-principles (GGA-PBE) data for a geometry-optimized ScGa2Pd structure, as listed in Alexandria via LeMat-Bulk.

The structure in extended XYZ format:
```
16
Lattice="6.589 0.000 0.000 0.000 4.126 0.000 0.000 0.000 10.081" Properties=species:S:1:pos:R:3 pbc="T T T"
Sc 1.628 1.031 1.722
Sc 1.667 3.094 6.763
Sc 4.922 1.031 3.318
Sc 4.961 3.094 8.359
Ga 0.394 1.031 8.487
Ga 1.455 3.094 9.707
Ga 1.839 1.031 4.666
Ga 2.900 3.094 3.447
Ga 3.688 1.031 6.635
Ga 4.749 3.094 5.415
Ga 5.134 1.031 0.374
Ga 6.195 3.094 1.594
Pd 0.349 3.094 4.026
Pd 2.945 1.031 9.066
Pd 3.643 3.094 1.015
Pd 6.240 1.031 6.056
```

## Properties
Spin magnetization (μB/f.u.): 0.0
Energy of formation from the pure elements (eV/atom): -0.741

(8)
First-principles (GGA-PBE) data for a geometry-optimized Sc6Ga2Pd structure, as listed in Alexandria via LeMat-Bulk.

The structure in extended XYZ format:
```
18
Lattice="-4.411 4.536 4.738 4.411 -4.536 4.738 4.411 4.536 -4.738" Properties=species:S:1:pos:R:3 pbc="T T T"
Sc 4.411 -2.617 3.099
Sc 2.717 0.000 2.440
Sc 6.105 0.000 2.440
Sc 2.827 2.447 0.000
Sc 5.995 2.447 0.000
Sc 0.000 1.919 1.639
Sc 4.411 2.617 3.099
Sc -1.584 2.090 4.738
Sc 1.584 2.090 4.738
Sc -1.694 4.536 2.298
Sc 1.694 4.536 2.298
Sc 0.000 7.153 1.639
Ga 1.361 0.000 0.000
Ga 7.461 0.000 0.000
Ga 0.000 0.000 3.510
Ga 0.000 0.000 5.966
Pd 4.411 0.000 0.000
Pd 0.000 4.536 0.000
```

## Properties
Spin magnetization (μB/f.u.): 0.0
Energy of formation from the pure elements (eV/atom): -0.489
Energy relative to the lowest polymorph listed for this composition (meV per atom): 0

(9)
First-principles (GGA-PBE) data for a geometry-optimized ScGaPd structure, as listed in Alexandria via LeMat-Bulk.

The structure in extended XYZ format:
```
3
Lattice="-1.687 1.687 4.562 1.687 -1.687 4.562 1.687 1.687 -4.562" Properties=species:S:1:pos:R:3 pbc="T T T"
Sc 0.000 0.000 0.000
Ga 0.000 0.000 6.186
Pd 0.000 0.000 2.920
```

## Properties
Spin magnetization (μB/f.u.): 0.0
Energy of formation from the pure elements (eV/atom): -0.736

(10)
First-principles (GGA-PBE) data for a geometry-optimized Sc6Ga2Pd structure, as listed in Alexandria via LeMat-Bulk.

The structure in extended XYZ format:
```
9
Lattice="-2.291 3.289 6.958 2.291 -3.289 6.958 2.291 3.289 -6.958" Properties=species:S:1:pos:R:3 pbc="T T T"
Sc 2.291 1.612 -2.279
Sc 0.000 1.606 0.000
Sc 2.291 1.612 2.279
Sc 0.000 1.677 4.679
Sc 0.000 4.972 0.000
Sc 0.000 1.677 9.237
Ga 2.291 0.000 4.623
Ga 0.000 3.289 2.334
Pd 2.291 0.000 0.000
```

## Properties
Spin magnetization (μB/f.u.): 0.0
Energy of formation from the pure elements (eV/atom): -0.322
Energy relative to the lowest polymorph listed for this composition (meV per atom): 167

(11)
First-principles (GGA-PBE) data for a geometry-optimized Sc2GaPd2 structure, as listed in Alexandria via LeMat-Bulk.

The structure in extended XYZ format:
```
10
Lattice="-2.731 6.547 2.620 2.731 -6.547 2.620 2.731 6.547 -2.620" Properties=species:S:1:pos:R:3 pbc="T T T"
Sc 1.108 2.319 0.000
Sc 1.108 -2.319 2.620
Sc 1.624 8.866 0.000
Sc 1.624 4.227 2.620
Ga 0.000 0.000 1.310
Ga 0.000 0.000 3.931
Pd 3.694 1.430 0.000
Pd 0.963 5.116 0.000
Pd 1.768 1.430 2.620
Pd -0.963 5.116 2.620
```

## Properties
Spin magnetization (μB/f.u.): 0.0
Energy of formation from the pure elements (eV/atom): -0.659

(12)
First-principles (GGA-PBE) data for a geometry-optimized Sc3GaPd structure, as listed in Alexandria via LeMat-Bulk.

The structure in extended XYZ format:
```
5
Lattice="5.022 0.000 0.000 0.000 5.022 0.000 0.000 0.000 5.022" Properties=species:S:1:pos:R:3 pbc="T T T"
Sc 0.000 0.000 2.511
Sc 0.000 2.511 0.000
Sc 2.511 0.000 0.000
Ga 2.511 2.511 2.511
Pd 0.000 0.000 0.000
```

## Properties
Spin magnetization (μB/f.u.): 0.0
Energy of formation from the pure elements (eV/atom): -0.069
Energy relative to the lowest polymorph listed for this composition (meV per atom): 513

(13)
First-principles (GGA-PBE) data for a geometry-optimized Sc5Ga2Pd structure, as listed in Alexandria via LeMat-Bulk.

The structure in extended XYZ format:
```
16
Lattice="-3.514 3.514 6.724 3.514 -3.514 6.724 3.514 3.514 -6.724" Properties=species:S:1:pos:R:3 pbc="T T T"
Sc 0.000 0.000 0.000
Sc 4.701 1.186 -2.000
Sc 1.186 2.328 -2.000
Sc 4.701 1.186 2.000
Sc 1.186 2.328 2.000
Sc 0.000 0.000 6.724
Sc 2.328 1.186 4.723
Sc -1.186 2.328 4.723
Sc 2.328 1.186 8.724
Sc -1.186 2.328 8.724
Ga 2.618 0.896 0.000
Ga 2.618 -0.896 6.724
Ga 0.896 4.411 0.000
Ga 0.896 2.618 6.724
Pd 0.000 0.000 3.362
Pd 0.000 0.000 10.085
```

## Properties
Spin magnetization (μB/f.u.): 0.0
Energy of formation from the pure elements (eV/atom): -0.546

(14)
First-principles (GGA-PBE) data for a geometry-optimized ScGaPd structure, as listed in Alexandria via LeMat-Bulk.

The structure in extended XYZ format:
```
6
Lattice="5.288 -1.776 0.000 5.288 1.776 0.000 -4.086 0.000 5.716" Properties=species:S:1:pos:R:3 pbc="T T T"
Sc -0.427 0.000 1.667
Sc 6.918 0.000 4.049
Ga 2.487 0.000 1.830
Ga 4.004 0.000 3.885
Pd -0.176 0.000 5.309
Pd 6.667 0.000 0.406
```

## Properties
Spin magnetization (μB/f.u.): 0.0
Energy of formation from the pure elements (eV/atom): -0.761

(15)
First-principles (GGA-PBE) data for a geometry-optimized Sc5GaPd4 structure, as listed in Alexandria via LeMat-Bulk.

The structure in extended XYZ format:
```
10
Lattice="3.299 0.000 0.000 0.000 3.299 0.000 0.000 0.000 16.801" Properties=species:S:1:pos:R:3 pbc="T T T"
Sc 0.000 0.000 0.000
Sc 0.000 0.000 3.353
Sc 0.000 0.000 6.681
Sc 0.000 0.000 10.120
Sc 0.000 0.000 13.447
Ga 1.650 1.650 8.400
Pd 1.650 1.650 1.683
Pd 1.650 1.650 5.049
Pd 1.650 1.650 11.751
Pd 1.650 1.650 15.117
```

## Properties
Spin magnetization (μB/f.u.): 0.0
Energy of formation from the pure elements (eV/atom): -0.843

(16)
First-principles (GGA-PBE) data for a geometry-optimized ScGa2Pd7 structure, as listed in Alexandria via LeMat-Bulk.

The structure in extended XYZ format:
```
10
Lattice="-2.044 2.044 9.897 2.044 -2.044 9.897 2.044 2.044 -9.897" Properties=species:S:1:pos:R:3 pbc="T T T"
Sc 0.000 0.000 0.000
Ga 0.000 0.000 6.450
Ga 0.000 0.000 13.345
Pd 2.044 0.000 1.951
Pd 2.044 0.000 4.949
Pd 2.044 0.000 7.946
Pd 0.000 0.000 9.897
Pd 0.000 2.044 1.951
Pd 0.000 2.044 4.949
Pd 0.000 2.044 7.946
```

## Properties
Spin magnetization (μB/f.u.): 0.0
Energy of formation from the pure elements (eV/atom): -0.656
Energy relative to the lowest polymorph listed for this composition (meV per atom): 0

(17)
First-principles (GGA-PBE) data for a geometry-optimized Sc2GaPd3 structure, as listed in Alexandria via LeMat-Bulk.

The structure in extended XYZ format:
```
12
Lattice="4.584 0.000 0.000 -2.292 3.970 0.000 0.000 0.000 11.171" Properties=species:S:1:pos:R:3 pbc="T T T"
Sc 0.000 0.000 0.000
Sc 0.000 0.000 5.585
Sc 0.000 2.646 2.000
Sc 2.292 1.323 9.170
Ga 0.000 2.646 7.450
Ga 2.292 1.323 3.721
Pd 0.000 0.000 2.828
Pd 0.000 0.000 8.343
Pd 0.000 2.646 4.751
Pd 0.000 2.646 10.228
Pd 2.292 1.323 0.942
Pd 2.292 1.323 6.419
```

## Properties
Spin magnetization (μB/f.u.): 0.0
Energy of formation from the pure elements (eV/atom): -0.864
Energy relative to the lowest polymorph listed for this composition (meV per atom): 0

(18)
First-principles (GGA-PBE) data for a geometry-optimized ScGa5Pd6 structure, as listed in Alexandria via LeMat-Bulk.

The structure in extended XYZ format:
```
12
Lattice="-2.240 3.108 6.654 2.240 -3.108 6.654 2.240 3.108 -6.654" Properties=species:S:1:pos:R:3 pbc="T T T"
Sc 0.000 0.000 0.000
Ga 2.240 0.000 2.097
Ga 0.000 0.000 4.419
Ga 0.000 3.108 0.000
Ga 0.000 0.000 8.888
Ga 0.000 3.108 4.556
Pd 2.240 -1.523 4.359
Pd 2.240 1.638 0.000
Pd 0.000 1.585 2.294
Pd 2.240 1.523 4.359
Pd 0.000 1.470 6.654
Pd 0.000 4.631 2.294
```

## Properties
Spin magnetization (μB/f.u.): 0.0
Energy of formation from the pure elements (eV/atom): -0.665

(19)
First-principles (GGA-PBE) data for a geometry-optimized Sc2Ga4Pd structure, as listed in Alexandria via LeMat-Bulk.

The structure in extended XYZ format:
```
7
Lattice="-2.357 2.357 6.954 2.357 -2.357 6.954 2.357 2.357 -6.954" Properties=species:S:1:pos:R:3 pbc="T T T"
Sc 0.000 0.000 1.717
Sc 0.000 0.000 12.190
Ga 2.357 0.000 0.000
Ga 0.000 0.000 4.415
Ga 0.000 2.357 0.000
Ga 0.000 0.000 9.492
Pd 0.000 0.000 6.954
```

## Properties
Spin magnetization (μB/f.u.): 0.0
Energy of formation from the pure elements (eV/atom): -0.139

(20)
First-principles (GGA-PBE) data for a geometry-optimized Sc2Ga9Pd structure, as listed in Alexandria via LeMat-Bulk.

The structure in extended XYZ format:
```
12
Lattice="4.096 0.000 0.000 0.000 4.096 0.000 0.000 0.000 12.256" Properties=species:S:1:pos:R:3 pbc="T T T"
Sc 0.000 0.000 2.098
Sc 0.000 0.000 10.157
Ga 0.000 2.048 0.000
Ga 0.000 2.048 4.217
Ga 0.000 2.048 8.039
Ga 2.048 0.000 0.000
Ga 2.048 0.000 4.217
Ga 2.048 0.000 8.039
Ga 2.048 2.048 2.016
Ga 2.048 2.048 6.128
Ga 2.048 2.048 10.240
Pd 0.000 0.000 6.128
```

## Properties
Spin magnetization (μB/f.u.): 0.0
Energy of formation from the pure elements (eV/atom): -0.391